Entry 1:
Density functional theory data (PBE-GGA) for a relaxed TbTmTh3 crystal.

Lattice parameters (Å, degrees): 9.200 7.844 9.218 90.00 90.00 90.00
Fractional coordinates of all 20 atoms:
Tb  0.000  0.000  0.000
Tb  0.000  0.500  0.000
Tb  0.500  0.000  0.500
Tb  0.500  0.500  0.500
Tm  0.164  0.250  0.338
Tm  0.336  0.750  0.838
Tm  0.664  0.250  0.162
Tm  0.836  0.750  0.662
Th  0.134  0.000  0.634
Th  0.134  0.500  0.634
Th  0.158  0.750  0.341
Th  0.342  0.250  0.841
Th  0.366  0.000  0.134
Th  0.366  0.500  0.134
Th  0.634  0.000  0.866
Th  0.634  0.500  0.866
Th  0.658  0.750  0.159
Th  0.842  0.250  0.659
Th  0.866  0.000  0.366
Th  0.866  0.500  0.366

Output
Magnetic moment   0.00 Bohr magnetons per cell
Polymorph energy (0 for the lowest one)   0.000 eV/atom
Formation energy from the elements   230 meV per atom

=====

Entry 2:
Density functional theory data (PBE-GGA) for a relaxed Tb7Tm3Th2 crystal.

Lattice parameters (Å, degrees): 3.566 6.140 17.383 93.52 95.88 90.00
Fractional coordinates of all 12 atoms:
Tb  0.000  0.000  0.000
Tb  0.084  0.364  0.167
Tb  0.249  0.742  0.498
Tb  0.416  0.139  0.833
Tb  0.584  0.861  0.167
Tb  0.751  0.258  0.502
Tb  0.916  0.636  0.833
Tm  0.167  0.054  0.333
Tm  0.500  0.500  0.000
Tm  0.833  0.946  0.667
Th  0.334  0.443  0.668
Th  0.666  0.557  0.332

Output
Magnetic moment   0.00 Bohr magnetons per cell
Polymorph energy (0 for the lowest one)   0.000 eV/atom
Formation energy from the elements   11 meV per atom

=====

Entry 3:
Density functional theory data (PBE-GGA) for a relaxed TbTm2Th crystal.

Lattice parameters (Å, degrees): 11.671 11.671 11.671 17.44 17.44 17.44
Fractional coordinates of all 4 atoms:
Tb  0.000  0.000  0.000
Tm  0.416  0.416  0.416
Tm  0.584  0.584  0.584
Th  0.834  0.834  0.834

Output
Magnetic moment   0.00 Bohr magnetons per cell
Polymorph energy (0 for the lowest one)   0.014 eV/atom
Formation energy from the elements   35 meV per atom

=====

Entry 4:
Density functional theory data (PBE-GGA) for a relaxed Tb3Tm8Th crystal.

Lattice parameters (Å, degrees): 9.368 9.368 9.368 131.96 131.96 70.29
Fractional coordinates of all 12 atoms:
Tb  0.000  0.000  0.000
Tb  0.250  0.750  0.500
Tb  0.750  0.250  0.500
Tm  0.126  0.126  0.500
Tm  0.126  0.625  0.000
Tm  0.375  0.375  0.500
Tm  0.375  0.874  0.000
Tm  0.625  0.126  0.000
Tm  0.625  0.625  0.500
Tm  0.874  0.375  0.000
Tm  0.874  0.874  0.500
Th  0.500  0.500  0.000

Output
Magnetic moment   0.00 Bohr magnetons per cell
Formation energy from the elements   785 meV per atom

=====

Entry 5:
Density functional theory data (PBE-GGA) for a relaxed Tb9TmTh2 crystal.

Lattice parameters (Å, degrees): 5.035 5.035 15.053 90.00 90.00 90.00
Fractional coordinates of all 12 atoms:
Tb  0.000  0.000  0.000
Tb  0.000  0.000  0.332
Tb  0.000  0.000  0.668
Tb  0.000  0.500  0.167
Tb  0.000  0.500  0.500
Tb  0.000  0.500  0.833
Tb  0.500  0.000  0.167
Tb  0.500  0.000  0.500
Tb  0.500  0.000  0.833
Tm  0.500  0.500  0.000
Th  0.500  0.500  0.334
Th  0.500  0.500  0.666

Output
Magnetic moment   0.00 Bohr magnetons per cell
Formation energy from the elements   35 meV per atom

=====

Entry 6:
Density functional theory data (PBE-GGA) for a relaxed Tb8TmTh6 crystal.

Lattice parameters (Å, degrees): 8.753 8.753 8.753 60.84 60.84 60.84
Fractional coordinates of all 15 atoms:
Tb  0.081  0.081  0.081
Tb  0.176  0.621  0.303
Tb  0.303  0.176  0.621
Tb  0.379  0.697  0.824
Tb  0.621  0.303  0.176
Tb  0.697  0.824  0.379
Tb  0.824  0.379  0.697
Tb  0.919  0.919  0.919
Tm  0.500  0.500  0.500
Th  0.035  0.574  0.763
Th  0.237  0.965  0.426
Th  0.426  0.237  0.965
Th  0.574  0.763  0.035
Th  0.763  0.035  0.574
Th  0.965  0.426  0.237

Output
Magnetic moment   0.00 Bohr magnetons per cell
Formation energy from the elements   153 meV per atom

=====

Entry 7:
Density functional theory data (PBE-GGA) for a relaxed TbTmTh crystal.

Lattice parameters (Å, degrees): 3.559 3.559 8.621 90.00 90.00 120.00
Fractional coordinates of all 3 atoms:
Tb  0.000  0.000  0.000
Tm  0.667  0.333  0.344
Th  0.333  0.667  0.669

Output
Magnetic moment   0.00 Bohr magnetons per cell
Polymorph energy (0 for the lowest one)   0.002 eV/atom
Formation energy from the elements   23 meV per atom

=====

Entry 8:
Density functional theory data (PBE-GGA) for a relaxed Tb7TmTh3 crystal.

Lattice parameters (Å, degrees): 7.079 7.079 8.536 90.00 90.00 120.00
Fractional coordinates of all 11 atoms:
Tb  0.000  0.000  0.000
Tb  0.165  0.331  0.657
Tb  0.165  0.835  0.657
Tb  0.502  0.003  0.995
Tb  0.502  0.498  0.995
Tb  0.669  0.835  0.657
Tb  0.997  0.498  0.995
Tm  0.667  0.333  0.655
Th  0.335  0.167  0.327
Th  0.833  0.167  0.327
Th  0.833  0.665  0.327

Output
Magnetic moment   0.00 Bohr magnetons per cell
Polymorph energy (0 for the lowest one)   0.054 eV/atom
Formation energy from the elements   209 meV per atom

=====

Entry 9:
Density functional theory data (PBE-GGA) for a relaxed Tb4TmTh3 crystal.

Lattice parameters (Å, degrees): 11.571 7.169 6.230 90.00 90.00 90.00
Fractional coordinates of all 16 atoms:
Tb  0.000  0.128  0.000
Tb  0.000  0.866  0.497
Tb  0.249  0.130  0.657
Tb  0.251  0.870  0.157
Tb  0.500  0.134  0.997
Tb  0.500  0.872  0.500
Tb  0.749  0.870  0.157
Tb  0.751  0.130  0.657
Tm  0.000  0.377  0.487
Tm  0.500  0.623  0.987
Th  0.000  0.622  0.989
Th  0.249  0.614  0.669
Th  0.251  0.386  0.169
Th  0.500  0.378  0.489
Th  0.749  0.386  0.169
Th  0.751  0.614  0.669

Output
Magnetic moment   0.00 Bohr magnetons per cell
Polymorph energy (0 for the lowest one)   0.019 eV/atom
Formation energy from the elements   47 meV per atom

=====

Entry 10:
Density functional theory data (PBE-GGA) for a relaxed TbTmTh14 crystal.

Lattice parameters (Å, degrees): 11.570 7.167 7.167 60.00 90.00 90.00
Fractional coordinates of all 16 atoms:
Tb  0.000  0.000  0.000
Tm  0.000  0.499  0.499
Th  0.000  0.496  0.997
Th  0.000  0.997  0.496
Th  0.250  0.165  0.665
Th  0.250  0.665  0.165
Th  0.250  0.665  0.665
Th  0.251  0.165  0.165
Th  0.500  0.332  0.332
Th  0.500  0.332  0.832
Th  0.500  0.832  0.332
Th  0.500  0.832  0.832
Th  0.749  0.165  0.165
Th  0.750  0.165  0.665
Th  0.750  0.665  0.165
Th  0.750  0.665  0.665

Output
Magnetic moment   0.00 Bohr magnetons per cell
Formation energy from the elements   32 meV per atom

=====

Entry 11:
Density functional theory data (PBE-GGA) for a relaxed Tb2Tm3Th3 crystal.

Lattice parameters (Å, degrees): 9.019 9.019 3.602 90.00 90.00 120.00
Fractional coordinates of all 8 atoms:
Tb  0.333  0.667  0.000
Tb  0.667  0.333  0.000
Tm  0.000  0.395  0.500
Tm  0.395  0.000  0.500
Tm  0.605  0.605  0.500
Th  0.000  0.771  0.000
Th  0.229  0.229  0.000
Th  0.771  0.000  0.000

Output
Magnetic moment   0.00 Bohr magnetons per cell
Formation energy from the elements   138 meV per atom

=====

Entry 12:
Density functional theory data (PBE-GGA) for a relaxed Tb5Tm12Th2 crystal.

Lattice parameters (Å, degrees): 8.393 8.393 8.921 101.30 101.30 88.26
Fractional coordinates of all 19 atoms:
Tb  0.000  0.000  0.000
Tb  0.266  0.266  0.397
Tb  0.272  0.272  0.997
Tb  0.728  0.728  0.003
Tb  0.734  0.734  0.603
Tm  0.071  0.518  0.706
Tm  0.088  0.088  0.666
Tm  0.154  0.663  0.112
Tm  0.337  0.846  0.888
Tm  0.467  0.467  0.772
Tm  0.482  0.929  0.294
Tm  0.518  0.071  0.706
Tm  0.533  0.533  0.228
Tm  0.663  0.154  0.112
Tm  0.846  0.337  0.888
Tm  0.912  0.912  0.334
Tm  0.929  0.482  0.294
Th  0.289  0.711  0.500
Th  0.711  0.289  0.500

Output
Magnetic moment   0.00 Bohr magnetons per cell
Polymorph energy (0 for the lowest one)   0.050 eV/atom
Formation energy from the elements   173 meV per atom

=====

Entry 13:
Density functional theory data (PBE-GGA) for a relaxed TbTm3Th2 crystal.

Lattice parameters (Å, degrees): 11.769 11.769 10.062 108.07 108.07 16.80
Fractional coordinates of all 12 atoms:
Tb  0.187  0.187  0.037
Tb  0.813  0.813  0.963
Tm  0.058  0.058  0.444
Tm  0.194  0.194  0.711
Tm  0.432  0.432  0.229
Tm  0.568  0.568  0.771
Tm  0.806  0.806  0.289
Tm  0.942  0.942  0.556
Th  0.191  0.191  0.376
Th  0.429  0.429  0.864
Th  0.571  0.571  0.136
Th  0.809  0.809  0.624

Output
Magnetic moment   0.00 Bohr magnetons per cell
Polymorph energy (0 for the lowest one)   0.121 eV/atom
Formation energy from the elements   150 meV per atom

=====

Entry 14:
Density functional theory data (PBE-GGA) for a relaxed TbTm7Th3 crystal.

Lattice parameters (Å, degrees): 7.009 7.009 8.455 90.00 90.00 120.00
Fractional coordinates of all 11 atoms:
Tb  0.000  0.000  0.000
Tm  0.166  0.332  0.338
Tm  0.166  0.834  0.338
Tm  0.501  0.002  0.003
Tm  0.501  0.499  0.003
Tm  0.667  0.333  0.340
Tm  0.668  0.834  0.338
Tm  0.998  0.499  0.003
Th  0.335  0.167  0.670
Th  0.833  0.167  0.670
Th  0.833  0.665  0.670

Output
Magnetic moment   0.00 Bohr magnetons per cell
Polymorph energy (0 for the lowest one)   0.051 eV/atom
Formation energy from the elements   209 meV per atom

=====

Entry 15:
Density functional theory data (PBE-GGA) for a relaxed Tb7Tm4Th crystal.

Lattice parameters (Å, degrees): 6.175 7.140 8.804 89.94 76.26 89.99
Fractional coordinates of all 12 atoms:
Tb  0.000  0.000  0.000
Tb  0.220  0.500  0.332
Tb  0.277  0.250  0.667
Tb  0.500  0.253  0.000
Tb  0.500  0.747  0.000
Tb  0.723  0.750  0.333
Tb  0.780  0.500  0.668
Tm  0.221  0.000  0.338
Tm  0.275  0.751  0.668
Tm  0.725  0.249  0.332
Tm  0.779  0.000  0.662
Th  0.000  0.500  0.000

Output
Magnetic moment   0.00 Bohr magnetons per cell
Polymorph energy (0 for the lowest one)   0.000 eV/atom
Formation energy from the elements   3 meV per atom

=====

Entry 16:
Density functional theory data (PBE-GGA) for a relaxed Tb4TmTh5 crystal.

Lattice parameters (Å, degrees): 8.969 8.969 11.183 107.19 107.19 22.13
Fractional coordinates of all 10 atoms:
Tb  0.093  0.093  0.308
Tb  0.303  0.303  0.410
Tb  0.697  0.697  0.590
Tb  0.907  0.907  0.692
Tm  0.500  0.500  0.500
Th  0.108  0.108  0.794
Th  0.197  0.197  0.093
Th  0.500  0.500  0.000
Th  0.803  0.803  0.907
Th  0.892  0.892  0.206

Output
Magnetic moment   0.00 Bohr magnetons per cell
Formation energy from the elements   131 meV per atom

=====

Entry 17:
Density functional theory data (PBE-GGA) for a relaxed Tb6Tm4Th crystal.

Lattice parameters (Å, degrees): 9.628 9.628 9.628 140.14 140.14 57.65
Fractional coordinates of all 11 atoms:
Tb  0.000  0.500  0.500
Tb  0.015  0.636  0.000
Tb  0.364  0.364  0.379
Tb  0.500  0.000  0.500
Tb  0.636  0.015  0.000
Tb  0.985  0.985  0.621
Tm  0.187  0.187  0.629
Tm  0.443  0.813  0.000
Tm  0.557  0.557  0.371
Tm  0.813  0.443  0.000
Th  0.000  0.000  0.000

Output
Magnetic moment   0.00 Bohr magnetons per cell
Polymorph energy (0 for the lowest one)   0.180 eV/atom
Formation energy from the elements   325 meV per atom

=====

Entry 18:
Density functional theory data (PBE-GGA) for a relaxed Tb4Tm3Th2 crystal.

Lattice parameters (Å, degrees): 3.544 3.544 26.336 90.00 90.00 120.00
Fractional coordinates of all 9 atoms:
Tb  0.000  0.000  0.000
Tb  0.000  0.000  0.213
Tb  0.333  0.667  0.323
Tb  0.333  0.667  0.538
Tm  0.000  0.000  0.430
Tm  0.333  0.667  0.106
Tm  0.333  0.667  0.760
Th  0.000  0.000  0.650
Th  0.000  0.000  0.870

Output
Magnetic moment   0.00 Bohr magnetons per cell
Polymorph energy (0 for the lowest one)   0.000 eV/atom
Formation energy from the elements   66 meV per atom

=====

Entry 19:
Density functional theory data (PBE-GGA) for a relaxed Tb5Tm4Th3 crystal.

Lattice parameters (Å, degrees): 9.277 9.277 8.633 114.18 114.18 35.85
Fractional coordinates of all 12 atoms:
Tb  0.000  0.000  0.000
Tb  0.337  0.337  0.109
Tb  0.401  0.401  0.558
Tb  0.599  0.599  0.442
Tb  0.663  0.663  0.891
Tm  0.035  0.035  0.698
Tm  0.210  0.210  0.653
Tm  0.790  0.790  0.347
Tm  0.965  0.965  0.302
Th  0.182  0.182  0.227
Th  0.500  0.500  0.000
Th  0.818  0.818  0.773

Output
Magnetic moment   0.00 Bohr magnetons per cell
Formation energy from the elements   351 meV per atom

=====

Entry 20:
Density functional theory data (PBE-GGA) for a relaxed Tb4Tm5Th crystal.

Lattice parameters (Å, degrees): 7.831 7.831 7.831 99.31 99.31 132.56
Fractional coordinates of all 10 atoms:
Tb  0.051  0.653  0.704
Tb  0.347  0.051  0.398
Tb  0.653  0.949  0.602
Tb  0.949  0.347  0.296
Tm  0.267  0.356  0.623
Tm  0.356  0.733  0.090
Tm  0.644  0.267  0.910
Tm  0.733  0.644  0.377
Tm  0.757  0.757  0.000
Th  0.225  0.225  0.000

Output
Magnetic moment   0.00 Bohr magnetons per cell
Polymorph energy (0 for the lowest one)   0.144 eV/atom
Formation energy from the elements   332 meV per atom

=====

Number 1: final energy -120.85 eV/cell. Number 2: final energy -60.53 eV/cell. Number 3: final energy -20.85 eV/cell. Number 4: final energy -47.66 eV/cell. Number 5: final energy -60.56 eV/cell. Number 6: final energy -83.73 eV/cell. Number 7: final energy -16.45 eV/cell. Number 8: final energy -56.85 eV/cell. Number 9: final energy -89.75 eV/cell. Number 10: final energy -112.47 eV/cell. Number 11: final energy -43.83 eV/cell. Number 12: final energy -88.35 eV/cell. Number 13: final energy -63.97 eV/cell. Number 14: final energy -55.89 eV/cell. Number 15: final energy -57.69 eV/cell. Number 16: final energy -58.78 eV/cell. Number 17: final energy -49.51 eV/cell. Number 18: final energy -46.18 eV/cell. Number 19: final energy -59.08 eV/cell. Number 20: final energy -44.98 eV/cell.